Model P:
Entry from Alexandria via LeMat-Bulk: a relaxed structure of Mn2CoF (PBE+U).

As for the crystal system: cubic.

It has space group Fm-3m (No. 225), with a = 5.507 Å, b = 5.507 Å, c = 5.507 Å, α = 90.00°, β = 90.00° and γ = 90.00°. The asymmetric unit holds Mn at (0.250, 0.250, 0.250), Co at (0.000, 0.000, 0.000) and F at (0.000, 0.000, 0.500).

Model Q:
Entry from Alexandria via LeMat-Bulk: a relaxed structure of Mn2CoF (PBE+U).

As for the crystal system: tetragonal.

It has space group I-42d (No. 122), with a = 6.386 Å, b = 6.386 Å, c = 6.225 Å, α = 90.00°, β = 90.00° and γ = 90.00°. The asymmetric unit holds Mn at (0.198, 0.750, 0.125), Co at (0.000, 0.000, 0.500) and F at (0.000, 0.000, 0.000).

Most stable of them? model Q.

Model P:
Entry from Alexandria via LeMat-Bulk: a relaxed structure of MnCoF2 (PBE+U).

As for the crystal system: trigonal.

It has space group R-3m (No. 166, hexagonal axes), with a = 3.1891 Å, b = 3.1891 Å, c = 22.6948 Å, α = 90.00°, β = 90.00° and γ = 120.00°. The asymmetric unit holds Mn at (0.0000, 0.0000, 0.0000), Co at (0.0000, 0.0000, 0.5000) and F at (0.0000, 0.0000, 0.3800).

Model Q:
Entry from Alexandria via LeMat-Bulk: a relaxed structure of MnCoF2 (PBE+U).

As for the crystal system: trigonal.

It has space group R-3m (No. 166, hexagonal axes), with a = 3.1398 Å, b = 3.1398 Å, c = 20.4535 Å, α = 90.00°, β = 90.00° and γ = 120.00°. The asymmetric unit holds Mn at (0.0000, 0.0000, 0.0000), Co at (0.0000, 0.0000, 0.5000) and F at (0.0000, 0.0000, 0.1093).

Most stable of them? model P.

Model P:
Entry from Alexandria via LeMat-Bulk: a relaxed structure of Mn3CoF (PBE+U).

As for the crystal system: cubic.

It has space group Pm-3m (No. 221), with a = 4.664 Å, b = 4.664 Å, c = 4.664 Å, α = 90.00°, β = 90.00° and γ = 90.00°. The asymmetric unit holds Mn at (0.000, 0.000, 0.500), Co at (0.000, 0.000, 0.000) and F at (0.500, 0.500, 0.500).

Model Q:
Entry from Alexandria via LeMat-Bulk: a relaxed structure of Mn3CoF (PBE+U).

As for the crystal system: cubic.

It has space group Pm-3m (No. 221), with a = 4.378 Å, b = 4.378 Å, c = 4.378 Å, α = 90.00°, β = 90.00° and γ = 90.00°. The asymmetric unit holds Mn at (0.000, 0.000, 0.500), Co at (0.500, 0.500, 0.500) and F at (0.000, 0.000, 0.000).

Most stable of them? model Q.